Run w
4
Lattice="4.6928 0.0000 0.0000 2.3464 4.0641 0.0000 2.3464 1.3547 8.3462" Properties=species:S:1:pos:R:3 comment="SrTlTeBr (PBE, relaxed)" space_group="R3m (160)" total_magnetization_mub_per_fu=0.000 pbc="T T T"
Tl 4.6928 2.7094 3.8075
Sr 7.0393 4.0641 0.0388
Br 7.0393 4.0641 6.7499
Te 2.3464 1.3547 1.9231

---

Run x
4
Lattice="5.7038 0.0000 0.0000 2.8519 4.9396 0.0000 2.8519 1.6465 4.6571" Properties=species:S:1:pos:R:3 comment="SrTlTeBr (PBE, relaxed)" space_group="F-43m (216)" total_magnetization_mub_per_fu=0.000 pbc="T T T"
Tl 5.7038 3.2931 2.3286
Te 2.8519 1.6465 1.1643
Sr 0.0000 0.0000 0.0000
Br 8.5557 4.9396 3.4928

---

Stability, lowest: run x

---

Run w
5
Lattice="-1.5650 -4.1179 3.9233 5.5340 -0.1631 2.0364 -1.3130 4.2208 3.9064" Properties=species:S:1:pos:R:3 comment="SrTiBr3 (PBE, relaxed)" space_group="Pm-3m (221)" total_magnetization_mub_per_fu=3.000 pbc="T T T"
Br 2.7670 -0.0816 1.0182
Br -0.6565 2.1104 1.9532
Br -0.7825 -2.0590 1.9616
Ti 1.3280 -0.0301 4.9330
Sr 0.0000 0.0000 0.0000

---

Run x
5
Lattice="5.3163 0.0000 0.0000 0.0000 5.3163 0.0000 0.0000 0.0000 5.3163" Properties=species:S:1:pos:R:3 comment="SrTiBr3 (PBE, relaxed)" space_group="Pm-3m (221)" total_magnetization_mub_per_fu=2.757 pbc="T T T"
Br 2.6582 0.0000 0.0000
Br 0.0000 0.0000 2.6582
Br 0.0000 2.6582 0.0000
Ti 0.0000 0.0000 0.0000
Sr 2.6582 2.6582 2.6582

---

Stability, lowest: run w

---

Run w
8
Lattice="-3.1635 -3.4280 -0.0775 0.7123 -0.5538 -4.5773 5.9317 -8.6394 -0.4091" Properties=species:S:1:pos:R:3 comment="SrTi2Br (PBE, relaxed)" space_group="I4_1/amd (141)" total_magnetization_mub_per_fu=0.000 pbc="T T T"
Ti 2.1259 -9.8252 -3.2355
Ti 3.7076 -8.1112 -3.1967
Ti 0.3856 -3.5146 -0.7035
Ti 0.7418 -3.7915 -2.9921
Sr 0.7713 -7.0292 -1.4070
Sr 0.0000 0.0000 0.0000
Br -1.2256 -1.9909 -2.3274
Br 2.7092 -5.5921 -3.6569

---

Run x
4
Lattice="-0.8918 -1.2740 4.8348 0.1495 3.5486 3.6302 -4.2910 1.4934 2.2695" Properties=species:S:1:pos:R:3 comment="SrTi2Br (PBE, relaxed)" space_group="Fm-3m (225)" total_magnetization_mub_per_fu=2.648 pbc="T T T"
Ti -1.2583 0.9420 2.6836
Ti -3.7750 2.8260 8.0508
Sr -2.5167 1.8840 5.3672
Br 0.0000 0.0000 0.0000

---

Stability, lowest: run x

---

Run w
7
Lattice="5.7309 0.0000 0.0000 0.0000 5.7309 0.0000 2.8654 2.8654 11.8202" Properties=species:S:1:pos:R:3 comment="SrTl2Br4 (PBE, relaxed)" space_group="I4/mmm (139)" total_magnetization_mub_per_fu=0.000 pbc="T T T"
Tl 5.7309 5.7309 4.4096
Tl 2.8654 2.8654 7.4106
Br 2.8654 2.8654 4.5752
Br 0.0000 2.8654 0.0000
Br 2.8654 0.0000 0.0000
Br 5.7309 5.7309 7.2450
Sr 0.0000 0.0000 0.0000

---

Run x
7
Lattice="4.5874 0.0000 0.0000 0.0000 8.6912 -0.3328 -2.2937 -4.5568 7.4132" Properties=species:S:1:pos:R:3 comment="SrTl2Br4 (PBE, relaxed)" space_group="C2/m (12)" total_magnetization_mub_per_fu=0.000 pbc="T T T"
Tl 2.2937 4.4158 2.8001
Tl 0.0000 -0.2814 4.2803
Sr 0.0000 0.0000 0.0000
Br 2.2937 -2.0817 5.6270
Br 0.0000 6.2161 1.4534
Br 2.2937 1.0419 1.8051
Br 0.0000 3.0925 5.2754

---

Stability, lowest: run w